1.
# Lu6InCo2 | the Alexandria database | GGA-PBE | optimized geometry
data_Lu6InCo2
_cell_length_a 9.227
_cell_length_b 9.358
_cell_length_c 9.781
_cell_angle_alpha 90.00
_cell_angle_beta 90.00
_cell_angle_gamma 90.00
_space_group_name_H-M_alt 'I m m m'
_space_group_IT_number 71
_space_group_name_Hall '-I 2 2'
loop_
_atom_site_label
_atom_site_fract_x
_atom_site_fract_y
_atom_site_fract_z
Lu1 0.000 0.214 0.233
Lu2 0.198 0.500 0.185
Lu3 0.212 0.312 0.500
In1 0.000 0.000 0.000
In2 0.000 0.000 0.500
Co1 0.000 0.377 0.000
Co2 0.000 0.500 0.386
# Mass density, g/cm3: 10.09
# E_form, eV/atom: -0.316
# DOS at the Fermi energy, states/eV/f.u.: 6.75
# Final energy, eV/cell: -187.68

---

2.
# Lu2InCo | the Alexandria database | GGA-PBE | optimized geometry
data_Lu2InCo
_cell_length_a 7.030
_cell_length_b 7.030
_cell_length_c 7.030
_cell_angle_alpha 90.00
_cell_angle_beta 90.00
_cell_angle_gamma 90.00
_space_group_name_H-M_alt 'F m -3 m'
_space_group_IT_number 225
_space_group_name_Hall '-F 4 2 3'
loop_
_atom_site_label
_atom_site_fract_x
_atom_site_fract_y
_atom_site_fract_z
Lu1 0.250 0.250 0.250
In1 0.000 0.000 0.000
Co1 0.000 0.000 0.500
# Mass density, g/cm3: 10.01
# E_form, eV/atom: -0.224
# DOS at the Fermi energy, states/eV/f.u.: 2.78
# Final energy, eV/cell: -79.13

---

3.
# LuInCo | the Alexandria database | GGA-PBE | optimized geometry
data_LuInCo
_cell_length_a 3.242
_cell_length_b 3.242
_cell_length_c 11.019
_cell_angle_alpha 90.00
_cell_angle_beta 90.00
_cell_angle_gamma 90.00
_space_group_name_H-M_alt 'I 4 m m'
_space_group_IT_number 107
_space_group_name_Hall 'I 4 -2'
loop_
_atom_site_label
_atom_site_fract_x
_atom_site_fract_y
_atom_site_fract_z
Lu1 0.000 0.000 0.000
In1 0.000 0.000 0.284
Co1 0.000 0.000 0.646
# Mass density, g/cm3: 10.00
# E_form, eV/atom: -0.196
# DOS at the Fermi energy, states/eV/f.u.: 2.11
# Final energy, eV/cell: -29.91

---

4.
# Lu2InCo | the Alexandria database | GGA-PBE | optimized geometry
data_Lu2InCo
_cell_length_a 3.288
_cell_length_b 3.288
_cell_length_c 7.893
_cell_angle_alpha 90.00
_cell_angle_beta 90.00
_cell_angle_gamma 90.00
_space_group_name_H-M_alt 'P 4/m m m'
_space_group_IT_number 123
_space_group_name_Hall '-P 4 2'
loop_
_atom_site_label
_atom_site_fract_x
_atom_site_fract_y
_atom_site_fract_z
Lu1 0.000 0.000 0.202
In1 0.500 0.500 0.500
Co1 0.500 0.500 0.000
# Mass density, g/cm3: 10.19
# E_form, eV/atom: -0.365
# DOS at the Fermi energy, states/eV/f.u.: 2.89
# Final energy, eV/cell: -20.35

---

5.
# Lu2InCo | the Alexandria database | GGA-PBE | optimized geometry
data_Lu2InCo
_cell_length_a 4.899
_cell_length_b 4.899
_cell_length_c 3.607
_cell_angle_alpha 90.00
_cell_angle_beta 90.00
_cell_angle_gamma 90.00
_space_group_name_H-M_alt 'P 4/m m m'
_space_group_IT_number 123
_space_group_name_Hall '-P 4 2'
loop_
_atom_site_label
_atom_site_fract_x
_atom_site_fract_y
_atom_site_fract_z
Lu1 0.000 0.500 0.000
In1 0.000 0.000 0.500
Co1 0.500 0.500 0.500
# Mass density, g/cm3: 10.05
# E_form, eV/atom: -0.217
# DOS at the Fermi energy, states/eV/f.u.: 1.94
# Final energy, eV/cell: -19.75

---

6.
# Lu8In3Co | the Alexandria database | GGA-PBE | optimized geometry
data_Lu8In3Co
_cell_length_a 10.1450
_cell_length_b 10.1450
_cell_length_c 6.8632
_cell_angle_alpha 90.00
_cell_angle_beta 90.00
_cell_angle_gamma 120.00
_space_group_name_H-M_alt 'P 63 m c'
_space_group_IT_number 186
_space_group_name_Hall 'P 6c -2c'
loop_
_atom_site_label
_atom_site_fract_x
_atom_site_fract_y
_atom_site_fract_z
Lu1 0.0000 0.0000 0.2799
Lu2 0.0691 0.5345 0.2943
Lu3 0.1795 0.3589 0.0000
Lu4 0.3333 0.6667 0.6842
In1 0.1624 0.3249 0.5394
Co1 0.3333 0.6667 0.0706
# Mass density, g/cm3: 9.79
# E_form, eV/atom: -0.358
# DOS at the Fermi energy, states/eV/f.u.: 5.63
# Final energy, eV/cell: -111.57

---

7.
# LuInCo | the Alexandria database | GGA-PBE | optimized geometry
data_LuInCo
_cell_length_a 6.338
_cell_length_b 6.338
_cell_length_c 6.338
_cell_angle_alpha 90.00
_cell_angle_beta 90.00
_cell_angle_gamma 90.00
_space_group_name_H-M_alt 'F -4 3 m'
_space_group_IT_number 216
_space_group_name_Hall 'F -4 2 3'
loop_
_atom_site_label
_atom_site_fract_x
_atom_site_fract_y
_atom_site_fract_z
Lu1 0.000 0.000 0.000
In1 0.000 0.000 0.500
Co1 0.250 0.250 0.750
# Mass density, g/cm3: 9.10
# E_form, eV/atom: -0.158
# DOS at the Fermi energy, states/eV/f.u.: 1.39
# Final energy, eV/cell: -59.36

---

8.
# Lu2InCo | the Alexandria database | GGA-PBE | optimized geometry
data_Lu2InCo
_cell_length_a 3.5706
_cell_length_b 3.5706
_cell_length_c 25.3677
_cell_angle_alpha 90.00
_cell_angle_beta 90.00
_cell_angle_gamma 120.00
_space_group_name_H-M_alt 'R -3 m'
_space_group_IT_number 166
_space_group_name_Hall '-R 3 2"'
loop_
_atom_site_label
_atom_site_fract_x
_atom_site_fract_y
_atom_site_fract_z
Lu1 0.0000 0.0000 0.2306
In1 0.0000 0.0000 0.0000
Co1 0.0000 0.0000 0.5000
# Mass density, g/cm3: 9.31
# E_form, eV/atom: -0.193
# DOS at the Fermi energy, states/eV/f.u.: 2.27
# Final energy, eV/cell: -58.98

---

Question: What is the mass density in the seventh record?
Answer: 9.10 g/cm3